14
Lattice="9.623 0.008 2.202 6.304 0.232 7.593 -7.376 -3.105 -5.779" Properties=species:S:1:pos:R:3 comment="DyZr4O9 GGA-PBE optimized geometry" sg="Imm2, No. 44" final_energy_ev_per_atom=-9.19 raw_formation_energy_ev_per_atom=-3.235 pbc="T T T"
O 11.682 -0.576 5.995
O 0.331 -2.632 -0.474
O 2.208 -0.703 0.192
O 3.227 -2.130 2.033
O -3.223 -2.228 -1.934
O 5.322 -0.671 2.083
O 6.456 -2.075 4.030
O 5.152 -0.522 5.719
O 3.161 -2.261 -1.712
Zr 5.389 -2.872 2.137
Zr -4.274 -3.017 -3.805
Zr 2.272 -2.910 0.234
Zr -1.170 -2.962 -1.882
Dy 0.039 -0.054 -0.062